(1)
InAg2Te | PBE | relaxed

Cell and atoms, written as POSCAR:
```
InAg2Te
1.0
2.045 -2.615 0.000
2.045 2.615 0.000
0.000 0.000 8.718
In Ag Te
1 2 1
Direct
0.000 0.000 0.000
0.500 0.500 0.239
0.500 0.500 0.761
0.000 0.000 0.500
```

Results
- DOS at the Fermi energy (states/eV/f.u.) = 1.86
- total magnetization (μB/cell) = 0.00
- calculated volume (Å³/cell) = 93.22
- total DFT energy (no corrections) (eV/atom) = -2.7509
- raw formation energy (eV per atom) = 0.145

***

(2)
CoSiAs2 | PBE | relaxed

Cell and atoms, written as POSCAR:
```
CoSiAs2
1.0
3.657 -1.718 0.000
3.657 1.718 0.000
-1.611 0.000 5.515
Co Si As
1 1 2
Direct
0.000 0.000 0.000
0.278 0.278 0.923
0.475 0.475 0.665
0.743 0.743 0.238
```

Results
- DOS at the Fermi energy (states/eV/f.u.) = 1.88
- total magnetization (μB/cell) = 0.00
- calculated volume (Å³/cell) = 69.29
- total DFT energy (no corrections) (eV/atom) = -5.4556
- raw formation energy (eV per atom) = 0.001

***

(3)
Tm4Bi3Se | PBE | relaxed

Cell and atoms, written as POSCAR:
```
Tm4Bi3Se
1.0
-3.077 3.077 6.120
3.077 -3.077 6.120
3.077 3.077 -6.120
Tm Bi Se
4 3 1
Direct
0.000 0.500 0.500
0.241 0.241 0.000
0.500 0.000 0.500
0.759 0.759 0.000
0.250 0.750 0.500
0.500 0.500 0.000
0.750 0.250 0.500
0.000 0.000 0.000
```

Results
- DOS at the Fermi energy (states/eV/f.u.) = 3.01
- total magnetization (μB/cell) = 0.00
- calculated volume (Å³/cell) = 231.71
- total DFT energy (no corrections) (eV/atom) = -5.1022
- raw formation energy (eV per atom) = -0.976

***

(4)
Pa2CoNi4Ge3 | PBE | relaxed

Cell and atoms, written as POSCAR:
```
Pa2CoNi4Ge3
1.0
3.983 0.000 0.000
0.000 3.983 0.000
0.000 0.000 9.859
Pa Co Ni Ge
2 1 4 3
Direct
0.000 0.500 0.243
0.500 0.000 0.757
0.500 0.500 0.000
0.000 0.000 0.500
0.000 0.500 0.863
0.500 0.000 0.137
0.500 0.500 0.500
0.000 0.000 0.000
0.000 0.500 0.628
0.500 0.000 0.372
```

Results
- energy of formation from the pure elements (eV/atom) = -0.492
- DOS at the Fermi energy (states/eV/f.u.) = 9.42
- total magnetization (μB/cell) = 1.36
- calculated volume (Å³/cell) = 156.39
- total DFT energy (no corrections) (eV/atom) = -6.7998

***

(5)
Li2TlCr | PBE | relaxed

Cell and atoms, written as POSCAR:
```
Li2TlCr
1.0
3.085 0.000 0.000
0.000 4.848 0.000
-0.513 0.000 5.048
Li Tl Cr
2 1 1
Direct
0.238 0.000 0.244
0.762 0.000 0.756
0.000 0.500 0.500
0.500 0.500 0.000
```

Results
- energy of formation from the pure elements (eV/atom) = 0.262
- DOS at the Fermi energy (states/eV/f.u.) = 2.20
- total magnetization (μB/cell) = 3.70
- calculated volume (Å³/cell) = 75.51
- total DFT energy (no corrections) (eV/atom) = -3.6919

***

(6)
ScCo4Sn | PBE | relaxed

Cell and atoms, written as POSCAR:
```
ScCo4Sn
1.0
0.000 3.449 3.449
3.449 0.000 3.449
3.449 3.449 0.000
Sc Co Sn
1 4 1
Direct
0.000 0.000 0.000
0.375 0.375 0.375
0.375 0.375 0.875
0.375 0.875 0.375
0.875 0.375 0.375
0.750 0.750 0.750
```

Results
- energy of formation from the pure elements (eV/atom) = -0.214
- DOS at the Fermi energy (states/eV/f.u.) = 9.73
- total magnetization (μB/cell) = 4.37
- calculated volume (Å³/cell) = 82.04
- total DFT energy (no corrections) (eV/atom) = -6.6734

***

(7)
BaPrPBr | PBE | relaxed

Cell and atoms, written as POSCAR:
```
BaPrPBr
1.0
2.160 1.247 8.002
-2.160 1.247 8.002
0.000 -2.495 8.002
Ba Pr P Br
1 1 1 1
Direct
0.000 0.000 0.000
0.805 0.805 0.805
0.412 0.412 0.412
0.227 0.227 0.227
```

Results
- DOS at the Fermi energy (states/eV/f.u.) = 2.35
- total magnetization (μB/cell) = 0.00
- calculated volume (Å³/cell) = 129.38
- total DFT energy (no corrections) (eV/atom) = -4.9262
- raw formation energy (eV per atom) = -1.480

***

(8)
Rb3Ac3ScSe8 | PBE | relaxed

Cell and atoms, written as POSCAR:
```
Rb3Ac3ScSe8
1.0
4.473 2.583 8.140
-4.473 2.583 8.140
0.000 -5.165 8.140
Rb Ac Sc Se
3 3 1 8
Direct
0.000 0.500 0.500
0.500 0.000 0.500
0.500 0.500 0.000
0.000 0.000 0.500
0.000 0.500 0.000
0.500 0.000 0.000
0.500 0.500 0.500
0.237 0.237 0.237
0.262 0.714 0.714
0.286 0.286 0.738
0.286 0.738 0.286
0.714 0.262 0.714
0.714 0.714 0.262
0.738 0.286 0.286
0.763 0.763 0.763
```

Results
- DOS at the Fermi energy (states/eV/f.u.) = 19.19
- total magnetization (μB/cell) = 0.00
- calculated volume (Å³/cell) = 564.30
- total DFT energy (no corrections) (eV/atom) = -4.9384
- raw formation energy (eV per atom) = -1.643

***

(9)
Ac5IrPdRh2 | PBE | relaxed

Cell and atoms, written as POSCAR:
```
Ac5IrPdRh2
1.0
2.118 -10.410 0.000
2.118 10.410 0.000
0.000 0.000 12.649
Ac Ir Pd Rh
10 2 2 4
Direct
0.028 0.972 0.500
0.165 0.835 0.010
0.179 0.821 0.343
0.200 0.800 0.672
0.458 0.542 0.256
0.542 0.458 0.756
0.800 0.200 0.172
0.821 0.179 0.843
0.835 0.165 0.510
0.972 0.028 0.000
0.352 0.648 0.680
0.648 0.352 0.180
0.055 0.945 0.196
0.945 0.055 0.696
0.322 0.678 0.338
0.382 0.618 0.050
0.618 0.382 0.550
0.678 0.322 0.838
```

Results
- energy of formation from the pure elements (eV/atom) = -0.528
- DOS at the Fermi energy (states/eV/f.u.) = 5.46
- total magnetization (μB/cell) = 0.00
- calculated volume (Å³/cell) = 557.75
- total DFT energy (no corrections) (eV/atom) = -6.0054

***

(10)
Mo2IrBr | PBE | relaxed

Cell and atoms, written as POSCAR:
```
Mo2IrBr
1.0
3.784 0.000 0.000
0.000 3.784 0.000
0.000 0.000 4.589
Mo Ir Br
2 1 1
Direct
0.000 0.500 0.000
0.500 0.000 0.000
0.000 0.000 0.500
0.500 0.500 0.500
```

Results
- DOS at the Fermi energy (states/eV/f.u.) = 3.31
- total magnetization (μB/cell) = 0.00
- calculated volume (Å³/cell) = 65.70
- total DFT energy (no corrections) (eV/atom) = -7.0065
- raw formation energy (eV per atom) = 1.042

***

(11)
BaRePb2 | PBE | relaxed

Cell and atoms, written as POSCAR:
```
BaRePb2
1.0
3.298 0.000 0.000
0.000 5.148 0.000
-1.632 0.000 7.022
Ba Re Pb
1 1 2
Direct
0.000 0.000 0.000
0.350 0.500 0.704
0.279 0.000 0.549
0.679 0.500 0.354
```

Results
- energy of formation from the pure elements (eV/atom) = 0.733
- DOS at the Fermi energy (states/eV/f.u.) = 3.01
- total magnetization (μB/cell) = 0.00
- calculated volume (Å³/cell) = 119.22
- total DFT energy (no corrections) (eV/atom) = -4.7137

***

(12)
LaErGe2Au2 | PBE | relaxed

Cell and atoms, written as POSCAR:
```
LaErGe2Au2
1.0
4.479 0.000 0.000
-2.240 3.879 0.000
0.000 0.000 7.781
La Er Ge Au
1 1 2 2
Direct
0.000 0.000 0.000
0.000 0.000 0.500
0.333 0.667 0.248
0.667 0.333 0.752
0.333 0.667 0.711
0.667 0.333 0.289
```

Results
- energy of formation from the pure elements (eV/atom) = -0.843
- DOS at the Fermi energy (states/eV/f.u.) = 1.40
- total magnetization (μB/cell) = 0.00
- calculated volume (Å³/cell) = 135.20
- total DFT energy (no corrections) (eV/atom) = -5.0564

***

Repeat the seventh record exactly.
BaPrPBr | PBE | relaxed

Cell and atoms, written as POSCAR:
```
BaPrPBr
1.0
2.160 1.247 8.002
-2.160 1.247 8.002
0.000 -2.495 8.002
Ba Pr P Br
1 1 1 1
Direct
0.000 0.000 0.000
0.805 0.805 0.805
0.412 0.412 0.412
0.227 0.227 0.227
```

Results
- DOS at the Fermi energy (states/eV/f.u.) = 2.35
- total magnetization (μB/cell) = 0.00
- calculated volume (Å³/cell) = 129.38
- total DFT energy (no corrections) (eV/atom) = -4.9262
- raw formation energy (eV per atom) = -1.480

***

- Which formula does entry 11 have?
  BaRePb2